Record 1
VASP calculation (PBE) on crystalline NdHoGaSn at its relaxed geometry.

Values from the calculation:
Space group: Amm2 (38)
DFT total energy: -4.788 eV per atom
Excess energy over the best structure of this formula in the dataset: 0 meV per atom
Energy of formation from the pure elements: -0.694 eV/atom

The structure in POSCAR format:
```
NdHoGaSn
1.0
4.205 0.000 0.000
0.000 4.533 0.000
0.000 0.000 11.335
Nd Ho Ga Sn
2 2 2 2
direct
0.000 0.000 0.000 Nd
0.000 0.500 0.500 Nd
0.500 0.000 0.278 Ho
0.500 0.500 0.778 Ho
0.500 0.000 0.553 Ga
0.500 0.500 0.053 Ga
0.000 0.000 0.717 Sn
0.000 0.500 0.217 Sn
```

=====

Record 2
VASP calculation (PBE) on crystalline PmAgPb2 at its relaxed geometry.

Values from the calculation:
Space group: R-3m (166)
DFT total energy: -3.369 eV per atom
Excess energy over the best structure of this formula in the dataset: 721 meV per atom
Energy of formation from the pure elements: 0.386 eV/atom

The structure in POSCAR format:
```
PmAgPb2
1.0
5.498 0.000 0.000
-2.749 4.761 0.000
0.000 0.000 20.490
Pm Ag Pb
3 3 6
direct
0.000 0.000 0.000 Pm
0.333 0.667 0.667 Pm
0.667 0.333 0.333 Pm
0.000 0.000 0.500 Ag
0.333 0.667 0.167 Ag
0.667 0.333 0.833 Ag
0.000 0.000 0.365 Pb
0.000 0.000 0.635 Pb
0.333 0.667 0.031 Pb
0.333 0.667 0.302 Pb
0.667 0.333 0.698 Pb
0.667 0.333 0.969 Pb
```